An optimized crystal structure of VRe2Mo6. Source: Alexandria via LeMat-Bulk, functional PBE.

Cell lengths 3.0877, 6.8776, 7.5359 Å; angles 62.85, 85.73, 80.61 degrees
Closest atoms and distances in Å follow each position.
Atoms (fractional coordinates):
V1 0.0000 0.0000 0.0000  4 Re 2.63, 4 Mo 2.65-2.81
Re1 0.5000 0.8415 0.3169  2 V 2.63, 6 Mo 2.63-2.81
Re2 0.5000 0.1585 0.6831  2 V 2.63, 6 Mo 2.63-2.81
Mo1 0.1712 0.8345 0.6709  3 Re 2.63-2.81, 5 Mo 2.68-2.84
Mo2 0.8288 0.1655 0.3291  3 Re 2.63-2.81, 5 Mo 2.68-2.84
Mo3 0.3340 0.3321 0.0000  2 V 2.65-2.81, 6 Mo 2.68-2.83
Mo4 0.1712 0.5054 0.3291  3 Re 2.63-2.81, 5 Mo 2.68-2.84
Mo5 0.8288 0.4946 0.6709  3 Re 2.63-2.81, 5 Mo 2.68-2.84
Mo6 0.6660 0.6679 0.0000  2 V 2.65-2.81, 6 Mo 2.68-2.83

Output
The value obtained for the calculated volume is 140.5 Å³/cell. The magnetic moment is 0.00 μB/f.u. For the energy above the most stable polymorph in this dataset, the calculation gives 0.000 eV per atom. As for the space group: C2/m, No. 12.